(1)
The following is a PBE calculation of a geometry-optimized MoP2PdCl structure, from the Alexandria database.

Results
The value obtained for the energy above the most stable polymorph in this dataset is 0.4867 eV/atom. The electronic total energy is -4.7490 eV per atom. The space group is P4/mmm, No. 123.

a b c (Å): 4.654 4.654 4.782
angles (deg): 90.00 90.00 90.00
Site moments in Bohr magnetons follow the coordinates.
Atoms (fractional coordinates):
Mo 0.500 0.500 0.500  3.23
Cl 0.000 0.000 0.500  -0.03
P 0.000 0.500 0.000  -0.22
P 0.500 0.000 0.000  -0.22
Pd 0.000 0.000 0.000  -0.12

=====

(2)
The following is a PBE calculation of a geometry-optimized MoP2PdCl structure, from the Alexandria database.

Results
The value obtained for the energy above the most stable polymorph in this dataset is 0.0000 eV/atom. The electronic total energy is -5.2357 eV per atom. The space group is P4/mmm, No. 123.

a b c (Å): 4.666 4.666 4.818
angles (deg): 90.00 90.00 90.00
Atoms (fractional coordinates):
Mo 0.000 0.000 0.000
Pd 0.500 0.500 0.500
P 0.500 0.000 0.000
P 0.000 0.500 0.000
Cl 0.000 0.000 0.500

=====

(3)
The following is a PBE calculation of a geometry-optimized RbMoPCl2 structure, from the Alexandria database.

Results
The value obtained for the energy above the most stable polymorph in this dataset is 0.0000 eV/atom. The electronic total energy is -4.7675 eV per atom. The space group is P4/mmm, No. 123.

a b c (Å): 5.225 5.225 4.692
angles (deg): 90.00 90.00 90.00
Site moments in Bohr magnetons follow the coordinates.
Atoms (fractional coordinates):
Cl 0.500 0.000 0.000  0.02
Cl 0.000 0.500 0.000  0.02
Mo 0.000 0.000 0.000  1.64
Rb 0.500 0.500 0.500  0.00
P 0.000 0.000 0.500  -0.13

=====

(4)
The following is a PBE calculation of a geometry-optimized RbMoP2Cl structure, from the Alexandria database.

Results
The value obtained for the energy above the most stable polymorph in this dataset is 0.0000 eV/atom. The electronic total energy is -5.2124 eV per atom. The space group is P4/mmm, No. 123.

a b c (Å): 4.680 4.680 5.558
angles (deg): 90.00 90.00 90.00
Atoms (fractional coordinates):
P 0.500 0.000 0.000
P 0.000 0.500 0.000
Rb 0.500 0.500 0.500
Mo 0.000 0.000 0.000
Cl 0.000 0.000 0.500

=====

(5)
The following is a PBE calculation of a geometry-optimized RbMoP2Cl structure, from the Alexandria database.

Results
The value obtained for the energy above the most stable polymorph in this dataset is 2.6534 eV/atom. The electronic total energy is -2.5590 eV per atom. The space group is P4/mmm, No. 123.

a b c (Å): 5.228 5.228 5.369
angles (deg): 90.00 90.00 90.00
Site moments in Bohr magnetons follow the coordinates.
Atoms (fractional coordinates):
P 0.000 0.500 0.000  -0.11
P 0.500 0.000 0.000  -0.11
Cl 0.000 0.000 0.500  -0.02
Mo 0.500 0.500 0.500  0.31
Rb 0.000 0.000 0.000  -0.01

=====

(6)
The following is a PBE calculation of a geometry-optimized RbMoPCl2 structure, from the Alexandria database.

Results
The value obtained for the energy above the most stable polymorph in this dataset is 1.6548 eV/atom. The electronic total energy is -3.1127 eV per atom. The space group is P4/mmm, No. 123.

a b c (Å): 5.950 5.950 6.120
angles (deg): 90.00 90.00 90.00
Site moments in Bohr magnetons follow the coordinates.
Atoms (fractional coordinates):
Rb 0.000 0.000 0.000  -0.05
Cl 0.000 0.500 0.000  -0.10
Cl 0.500 0.000 0.000  -0.10
P 0.000 0.000 0.500  -1.12
Mo 0.500 0.500 0.500  4.05

=====

(7)
The following is a PBE calculation of a geometry-optimized Rb2MoPCl6 structure, from the Alexandria database.

Results
The electronic total energy is -3.8561 eV per atom. The space group is I4/mmm, No. 139.

a b c (Å): 8.148 8.148 7.339
angles (deg): 56.28 56.28 90.00
Site moments in Bohr magnetons follow the coordinates.
Atoms (fractional coordinates):
Cl 0.786 0.214 0.000  0.00
Cl 0.257 0.257 0.486  -0.04
Cl 0.743 0.743 0.514  -0.04
Cl 0.786 0.786 0.000  0.00
Cl 0.214 0.214 0.000  0.00
Cl 0.214 0.786 0.000  0.00
P 0.500 0.500 0.000  -0.65
Rb 0.750 0.250 0.500  0.00
Rb 0.250 0.750 0.500  0.00
Mo 0.000 0.000 0.000  2.15

=====

(8)
The following is a PBE calculation of a geometry-optimized MoPRhCl2 structure, from the Alexandria database.

Results
The value obtained for the energy above the most stable polymorph in this dataset is 0.0467 eV/atom. The electronic total energy is -4.7259 eV per atom. The space group is P4/mmm, No. 123.

a b c (Å): 4.927 4.927 4.498
angles (deg): 90.00 90.00 90.00
Site moments in Bohr magnetons follow the coordinates.
Atoms (fractional coordinates):
P 0.000 0.000 0.500  -0.15
Mo 0.500 0.500 0.500  3.76
Rh 0.000 0.000 0.000  0.10
Cl 0.500 0.000 0.000  0.02
Cl 0.000 0.500 0.000  0.02